# CaCr2Br

Crystalline CaCr2Br at its relaxed geometry (GGA-PBEsol, the Alexandria database).

Cell lengths 4.049, 4.049, 6.318 Å; angles 108.69, 108.69, 90.00 degrees
Fractional coordinates of all 4 atoms:
Cr: 0.750 0.250 0.500
Cr: 0.250 0.750 0.500
Ca: 0.000 0.000 0.000
Br: 0.500 0.500 0.000

Calculated values
The total magnetization is 8.90 μB per formula unit. The crystal system is tetragonal. The total energy is -0.4079 Ry per atom. The energy above the lowest structure with this stoichiometry comes out at 0.0 meV per atom. As for the energy relative to the elements, uncorrected: 0.57 eV/atom. As for the density: 4.028 g/cm3.